DFT (PBE-GGA) results for a relaxed structure of AcScZnAu.

Structure (POSCAR):
```
AcScZnAu
1.0
0.0000 3.6892 3.6892
3.6892 0.0000 3.6892
3.6892 3.6892 0.0000
Ac Sc Zn Au
1 1 1 1
direct
0.0000 0.0000 0.0000 Ac
0.5000 0.5000 0.5000 Sc
0.2500 0.2500 0.2500 Zn
0.7500 0.7500 0.7500 Au
```

Summary:
formation enthalpy at 0 K	-0.407	eV/atom
space group	No. 216
density of states at the Fermi level	2.0	states/eV/cell